Sr2ReOs | GGA-PBEsol | relaxed

Summary:
crystal system = cubic
formation energy = 1200 meV per atom
spin magnetization = 0.00 μB per cell
space group = F-43m, No. 216

```
Sr2ReOs
1.0
-1.737 4.543 0.470
-2.984 1.103 3.708
1.577 2.854 3.639
Os Re Sr
1 1 2
direct
0.500 0.500 0.500 Os
0.250 0.250 0.250 Re
0.000 0.000 0.000 Sr
0.750 0.750 0.750 Sr
```